(1)
{
  "formula": "CuAg",
  "functional": "PBE-GGA",
  "state": "optimized geometry",
  "cell": [[2.7857, 0.0000, 0.0000], [0.0000, 2.7857, 0.0000], [0.0000, 0.0000, 18.9803]],
  "species": ["Cu", "Cu", "Cu", "Cu", "Cu", "Ag", "Ag", "Ag", "Ag", "Ag"],
  "frac_coords": [[0.0000, 0.0000, 0.0000], [0.0000, 0.0000, 0.1646], [0.0000, 0.0000, 0.5972], [0.0000, 0.0000, 0.7980], [0.5000, 0.5000, 0.0824], [0.0000, 0.0000, 0.3816], [0.5000, 0.5000, 0.2653], [0.5000, 0.5000, 0.4976], [0.5000, 0.5000, 0.6974], [0.5000, 0.5000, 0.8987]],
  "formation_enthalpy_0k_ev_per_atom": 0.074,
  "e_tot_ev_per_atom": -3.197,
  "density_g_cm3": 9.66
}



(2)
{
  "formula": "Cu3Ag5",
  "functional": "PBE-GGA",
  "state": "optimized geometry",
  "cell": [[2.8483, 0.0000, 0.0000], [0.0000, 2.8483, 0.0000], [0.0000, 0.0000, 15.3783]],
  "species": ["Cu", "Cu", "Cu", "Ag", "Ag", "Ag", "Ag", "Ag"],
  "frac_coords": [[0.0000, 0.0000, 0.0000], [0.0000, 0.0000, 0.2412], [0.0000, 0.0000, 0.7588], [0.0000, 0.0000, 0.5000], [0.5000, 0.5000, 0.1209], [0.5000, 0.5000, 0.3607], [0.5000, 0.5000, 0.6393], [0.5000, 0.5000, 0.8791]],
  "formation_enthalpy_0k_ev_per_atom": 0.077,
  "e_tot_ev_per_atom": -3.082,
  "density_g_cm3": 9.72
}



(3)
{
  "formula": "Cu39Ag",
  "functional": "PBE-GGA",
  "state": "optimized geometry",
  "cell": [[6.7698, 0.0000, 0.0000], [-2.8890, 8.3742, 0.0000], [-0.0090, -3.9166, 8.3498]],
  "species": ["Cu", "Cu", "Cu", "Cu", "Cu", "Cu", "Cu", "Cu", "Cu", "Cu", "Cu", "Cu", "Cu", "Cu", "Cu", "Cu", "Cu", "Cu", "Cu", "Cu", "Cu", "Cu", "Cu", "Cu", "Cu", "Cu", "Cu", "Cu", "Cu", "Cu", "Cu", "Cu", "Cu", "Cu", "Cu", "Cu", "Cu", "Cu", "Cu", "Ag"],
  "frac_coords": [[0.0000, 0.0000, 0.0000], [0.0000, 0.5000, 0.0000], [0.0489, 0.4488, 0.2495], [0.0516, 0.9499, 0.2495], [0.0927, 0.8976, 0.5000], [0.0993, 0.4003, 0.5000], [0.1503, 0.8502, 0.7498], [0.1506, 0.3514, 0.7510], [0.1990, 0.3009, 0.0013], [0.1996, 0.7996, 0.9987], [0.2448, 0.7444, 0.2444], [0.2494, 0.2507, 0.2495], [0.2957, 0.6936, 0.5000], [0.2978, 0.2050, 0.5000], [0.3466, 0.1534, 0.7555], [0.3499, 0.6493, 0.7505], [0.3995, 0.1006, 0.9999], [0.4001, 0.5991, 0.9990], [0.4491, 0.0511, 0.2445], [0.4497, 0.5503, 0.2502], [0.5000, 0.5000, 0.5000], [0.5503, 0.4497, 0.7498], [0.5509, 0.9489, 0.7555], [0.5999, 0.4009, 0.0010], [0.6005, 0.8994, 0.0001], [0.6501, 0.3507, 0.2495], [0.6534, 0.8466, 0.2445], [0.7022, 0.7950, 0.5000], [0.7043, 0.3064, 0.5000], [0.7506, 0.7493, 0.7505], [0.7552, 0.2556, 0.7556], [0.8004, 0.2004, 0.0013], [0.8010, 0.6991, 0.9987], [0.8494, 0.6486, 0.2490], [0.8497, 0.1498, 0.2502], [0.9007, 0.5997, 0.5000], [0.9073, 0.1024, 0.5000], [0.9484, 0.0501, 0.7505], [0.9511, 0.5512, 0.7505], [0.5000, 0.0000, 0.5000]],
  "formation_enthalpy_0k_ev_per_atom": 0.014,
  "e_tot_ev_per_atom": -3.681,
  "density_g_cm3": 9.07
}



(4)
{
  "formula": "Cu2Ag7",
  "functional": "PBE-GGA",
  "state": "optimized geometry",
  "cell": [[4.5562, -2.0413, 0.0000], [4.5562, 2.0413, 0.0000], [-2.9521, 0.0000, 7.9983]],
  "species": ["Cu", "Cu", "Ag", "Ag", "Ag", "Ag", "Ag", "Ag", "Ag"],
  "frac_coords": [[0.1602, 0.1602, 0.0524], [0.8398, 0.8398, 0.9476], [0.1618, 0.1618, 0.3821], [0.1811, 0.1811, 0.7398], [0.4841, 0.4841, 0.1543], [0.5000, 0.5000, 0.5000], [0.5159, 0.5159, 0.8457], [0.8189, 0.8189, 0.2602], [0.8382, 0.8382, 0.6179]],
  "formation_enthalpy_0k_ev_per_atom": 0.055,
  "e_tot_ev_per_atom": -2.968,
  "density_g_cm3": 9.85
}



Repeat the third record exactly.
{
  "formula": "Cu39Ag",
  "functional": "PBE-GGA",
  "state": "optimized geometry",
  "cell": [[6.7698, 0.0000, 0.0000], [-2.8890, 8.3742, 0.0000], [-0.0090, -3.9166, 8.3498]],
  "species": ["Cu", "Cu", "Cu", "Cu", "Cu", "Cu", "Cu", "Cu", "Cu", "Cu", "Cu", "Cu", "Cu", "Cu", "Cu", "Cu", "Cu", "Cu", "Cu", "Cu", "Cu", "Cu", "Cu", "Cu", "Cu", "Cu", "Cu", "Cu", "Cu", "Cu", "Cu", "Cu", "Cu", "Cu", "Cu", "Cu", "Cu", "Cu", "Cu", "Ag"],
  "frac_coords": [[0.0000, 0.0000, 0.0000], [0.0000, 0.5000, 0.0000], [0.0489, 0.4488, 0.2495], [0.0516, 0.9499, 0.2495], [0.0927, 0.8976, 0.5000], [0.0993, 0.4003, 0.5000], [0.1503, 0.8502, 0.7498], [0.1506, 0.3514, 0.7510], [0.1990, 0.3009, 0.0013], [0.1996, 0.7996, 0.9987], [0.2448, 0.7444, 0.2444], [0.2494, 0.2507, 0.2495], [0.2957, 0.6936, 0.5000], [0.2978, 0.2050, 0.5000], [0.3466, 0.1534, 0.7555], [0.3499, 0.6493, 0.7505], [0.3995, 0.1006, 0.9999], [0.4001, 0.5991, 0.9990], [0.4491, 0.0511, 0.2445], [0.4497, 0.5503, 0.2502], [0.5000, 0.5000, 0.5000], [0.5503, 0.4497, 0.7498], [0.5509, 0.9489, 0.7555], [0.5999, 0.4009, 0.0010], [0.6005, 0.8994, 0.0001], [0.6501, 0.3507, 0.2495], [0.6534, 0.8466, 0.2445], [0.7022, 0.7950, 0.5000], [0.7043, 0.3064, 0.5000], [0.7506, 0.7493, 0.7505], [0.7552, 0.2556, 0.7556], [0.8004, 0.2004, 0.0013], [0.8010, 0.6991, 0.9987], [0.8494, 0.6486, 0.2490], [0.8497, 0.1498, 0.2502], [0.9007, 0.5997, 0.5000], [0.9073, 0.1024, 0.5000], [0.9484, 0.0501, 0.7505], [0.9511, 0.5512, 0.7505], [0.5000, 0.0000, 0.5000]],
  "formation_enthalpy_0k_ev_per_atom": 0.014,
  "e_tot_ev_per_atom": -3.681,
  "density_g_cm3": 9.07
}